Arrangement P

Density functional theory data (PBE-GGA) for a relaxed structure of TaTl2Hg.

a = 3.0599 Å, b = 3.0599 Å, c = 10.4439 Å
α = 90.00°, β = 90.00°, γ = 90.00°
With the nearest neighbours (Å) after each atom.
Element x y z (fractional)
Hg: 0.5000 0.5000 0.2500  4 Hg 3.06
Ta: 0.5000 0.5000 0.7500  4 Ta 3.06, 8 Tl 3.17
Tl: 0.0000 0.0000 0.9715  4 Tl 3.06, 4 Ta 3.17
Tl: 0.0000 0.0000 0.5285  4 Tl 3.06, 4 Ta 3.17

Computed properties:
Spin magnetization = 0.00 μB/f.u.
DOS at the Fermi energy = 3.41 states/eV/f.u.
Space group = No. 123


Arrangement Q

Density functional theory data (PBE-GGA) for a relaxed structure of TaTl2Hg.

a = 5.1381 Å, b = 5.1381 Å, c = 5.1381 Å
α = 60.00°, β = 60.00°, γ = 60.00°
With the nearest neighbours (Å) after each atom.
Element x y z (fractional)
Tl: 0.2500 0.2500 0.2500  4 Hg 3.15, 4 Ta 3.15
Tl: 0.7500 0.7500 0.7500  4 Hg 3.15, 4 Ta 3.15
Hg: 0.5000 0.5000 0.5000  8 Tl 3.15
Ta: 0.0000 0.0000 0.0000  8 Tl 3.15

Computed properties:
Spin magnetization = 2.01 μB/f.u.
DOS at the Fermi energy = 4.38 states/eV/f.u.
Space group = No. 225


Arrangement R

Density functional theory data (PBE-GGA) for a relaxed structure of TaTl2Hg.

a = 10.4165 Å, b = 10.4165 Å, c = 10.4165 Å
α = 17.90°, β = 17.90°, γ = 17.90°
With the nearest neighbours (Å) after each atom.
Element x y z (fractional)
Hg: 0.2500 0.2500 0.2500  6 Hg 3.24, 6 Tl 3.25
Ta: 0.7500 0.7500 0.7500  6 Tl 3.09, 6 Ta 3.24
Tl: 0.0032 0.0032 0.0032  3 Ta 3.09, 6 Tl 3.24, 3 Hg 3.25
Tl: 0.4968 0.4968 0.4968  3 Ta 3.09, 6 Tl 3.24, 3 Hg 3.25

Computed properties:
Spin magnetization = 0.00 μB/f.u.
DOS at the Fermi energy = 2.18 states/eV/f.u.
Space group = No. 166


Arrangement S

Density functional theory data (PBE-GGA) for a relaxed structure of TaTl2Hg.

a = 5.8600 Å, b = 5.8600 Å, c = 5.8600 Å
α = 137.80°, β = 137.80°, γ = 61.21°
With the nearest neighbours (Å) after each atom.
Element x y z (fractional)
Hg: 0.5000 0.5000 0.0000  8 Tl 2.98-3.29, 4 Ta 3.29
Ta: 0.7500 0.2500 0.5000  8 Tl 2.98-3.29, 4 Hg 3.29
Tl: 0.0000 0.0000 0.0000  4 Hg 2.98, 4 Ta 3.29, 4 Tl 3.29
Tl: 0.2500 0.7500 0.5000  4 Ta 2.98, 4 Tl 3.29, 4 Hg 3.29

Computed properties:
Spin magnetization = 0.00 μB/f.u.
DOS at the Fermi energy = 2.10 states/eV/f.u.
Space group = No. 119


Computed relative energies in units of meV per atom: arrangement P 56; arrangement Q 427; arrangement R 0; arrangement S 171


Arrangement P

Density functional theory data (PBE-GGA) for a relaxed structure of TaTl3Hg.

a = 5.5707 Å, b = 5.5707 Å, c = 5.5707 Å
α = 90.00°, β = 90.00°, γ = 90.00°
With the nearest neighbours (Å) after each atom.
Element x y z (fractional)
Tl: 0.0000 0.5000 0.0000  2 Ta 2.79
Tl: 0.0000 0.0000 0.5000  2 Ta 2.79
Tl: 0.5000 0.0000 0.0000  2 Ta 2.79
Hg: 0.5000 0.5000 0.5000  12 Tl 3.94
Ta: 0.0000 0.0000 0.0000  6 Tl 2.79

Computed properties:
Spin magnetization = 0.55 μB/f.u.
DOS at the Fermi energy = 5.38 states/eV/f.u.
Space group = No. 221


Arrangement Q

Density functional theory data (PBE-GGA) for a relaxed structure of TaTl3Hg.

a = 5.6073 Å, b = 5.6073 Å, c = 5.6073 Å
α = 90.00°, β = 90.00°, γ = 90.00°
With the nearest neighbours (Å) after each atom.
Element x y z (fractional)
Tl: 0.0000 0.5000 0.0000  2 Hg 2.80
Tl: 0.0000 0.0000 0.5000  2 Hg 2.80
Tl: 0.5000 0.0000 0.0000  2 Hg 2.80
Hg: 0.0000 0.0000 0.0000  6 Tl 2.80
Ta: 0.5000 0.5000 0.5000  12 Tl 3.96

Computed properties:
Spin magnetization = 3.44 μB/f.u.
DOS at the Fermi energy = 9.95 states/eV/f.u.
Space group = No. 221


Computed relative energies in units of meV per atom: arrangement P 0; arrangement Q 742


Arrangement P

Density functional theory data (PBE-GGA) for a relaxed structure of Ta3TlHg.

a = 5.0451 Å, b = 5.0451 Å, c = 5.0451 Å
α = 90.00°, β = 90.00°, γ = 90.00°
With the nearest neighbours (Å) after each atom.
Element x y z (fractional)
Tl: 0.5000 0.5000 0.5000  12 Ta 3.57
Hg: 0.0000 0.0000 0.0000  6 Ta 2.52
Ta: 0.0000 0.5000 0.0000  2 Hg 2.52
Ta: 0.0000 0.0000 0.5000  2 Hg 2.52
Ta: 0.5000 0.0000 0.0000  2 Hg 2.52

Computed properties:
Spin magnetization = 0.00 μB/f.u.
DOS at the Fermi energy = 3.23 states/eV/f.u.
Space group = No. 221


Arrangement Q

Density functional theory data (PBE-GGA) for a relaxed structure of Ta3TlHg.

a = 5.0738 Å, b = 5.0738 Å, c = 5.0738 Å
α = 90.00°, β = 90.00°, γ = 90.00°
With the nearest neighbours (Å) after each atom.
Element x y z (fractional)
Tl: 0.0000 0.0000 0.0000  6 Ta 2.54
Hg: 0.5000 0.5000 0.5000  12 Ta 3.59
Ta: 0.0000 0.5000 0.0000  2 Tl 2.54
Ta: 0.0000 0.0000 0.5000  2 Tl 2.54
Ta: 0.5000 0.0000 0.0000  2 Tl 2.54

Computed properties:
Spin magnetization = 0.00 μB/f.u.
DOS at the Fermi energy = 2.11 states/eV/f.u.
Space group = No. 221


Computed relative energies in units of meV per atom: arrangement P 0; arrangement Q 237


Arrangement P

Density functional theory data (PBE-GGA) for a relaxed structure of Ta3VHg.

a = 5.0077 Å, b = 5.0077 Å, c = 5.0077 Å
α = 90.00°, β = 90.00°, γ = 90.00°
With the nearest neighbours (Å) after each atom.
Element x y z (fractional)
Ta: 0.0000 0.5000 0.0000  2 Hg 2.50
Ta: 0.0000 0.0000 0.5000  2 Hg 2.50
Ta: 0.5000 0.0000 0.0000  2 Hg 2.50
Hg: 0.0000 0.0000 0.0000  6 Ta 2.50
V: 0.5000 0.5000 0.5000  12 Ta 3.54

Computed properties:
Spin magnetization = 1.82 μB/f.u.
DOS at the Fermi energy = 7.32 states/eV/f.u.
Space group = No. 221


Arrangement Q

Density functional theory data (PBE-GGA) for a relaxed structure of Ta3VHg.

a = 4.6662 Å, b = 4.6662 Å, c = 4.6662 Å
α = 90.00°, β = 90.00°, γ = 90.00°
With the nearest neighbours (Å) after each atom.
Element x y z (fractional)
Ta: 0.0000 0.5000 0.0000  2 V 2.33
Ta: 0.0000 0.0000 0.5000  2 V 2.33
Ta: 0.5000 0.0000 0.0000  2 V 2.33
Hg: 0.5000 0.5000 0.5000  12 Ta 3.30
V: 0.0000 0.0000 0.0000  6 Ta 2.33

Computed properties:
Spin magnetization = 0.00 μB/f.u.
DOS at the Fermi energy = 5.49 states/eV/f.u.
Space group = No. 221


Computed relative energies in units of meV per atom: arrangement P 1243; arrangement Q 0


Arrangement P

Density functional theory data (PBE-GGA) for a relaxed structure of TaHgW.

a = 5.3542 Å, b = 5.3542 Å, c = 5.3542 Å
α = 142.82°, β = 142.82°, γ = 53.59°
With the nearest neighbours (Å) after each atom.
Element x y z (fractional)
Hg: 0.0007 0.0007 0.0000  5 W 2.98-3.03, 5 Ta 2.99-3.01
Ta: 0.3152 0.3152 0.0000  4 W 2.72, 5 Hg 2.99-3.01
W: 0.6841 0.6841 0.0000  4 Ta 2.72, 5 Hg 2.98-3.03

Computed properties:
Spin magnetization = 0.00 μB/f.u.
DOS at the Fermi energy = 2.54 states/eV/f.u.
Space group = No. 107


Arrangement Q

Density functional theory data (PBE-GGA) for a relaxed structure of TaHgW.

a = 7.1694 Å, b = 7.1694 Å, c = 7.1694 Å
α = 157.35°, β = 157.35°, γ = 32.24°
With the nearest neighbours (Å) after each atom.
Element x y z (fractional)
Hg: 0.0009 0.0009 0.0000  4 Hg 2.82, 4 W 3.04, 4 Ta 3.07
Ta: 0.3316 0.3316 0.0000  4 Ta 2.82, 4 W 3.01, 4 Hg 3.07
W: 0.6675 0.6675 0.0000  4 W 2.82, 4 Ta 3.01, 4 Hg 3.04

Computed properties:
Spin magnetization = 0.00 μB/f.u.
DOS at the Fermi energy = 2.90 states/eV/f.u.
Space group = No. 107


Arrangement R

Density functional theory data (PBE-GGA) for a relaxed structure of TaHgW.

a = 7.4192 Å, b = 7.2669 Å, c = 2.8413 Å
α = 81.88°, β = 75.85°, γ = 22.28°
With the nearest neighbours (Å) after each atom.
Element x y z (fractional)
Hg: 0.9993 0.9993 0.0007  4 Hg 2.84, 2 W 2.96, 2 Ta 2.99
Ta: 0.6727 0.6727 0.3273  2 W 2.78, 4 Ta 2.84, 2 Hg 2.99
W: 0.3280 0.3280 0.6720  2 Ta 2.78, 4 W 2.84, 2 Hg 2.96

Computed properties:
Spin magnetization = 0.00 μB/f.u.
DOS at the Fermi energy = 3.12 states/eV/f.u.
Space group = No. 42


Computed relative energies in units of meV per atom: arrangement P 66; arrangement Q 108; arrangement R 0


Arrangement P

Density functional theory data (PBE-GGA) for a relaxed structure of TaHgW.

a = 5.1609 Å, b = 5.1609 Å, c = 5.1609 Å
α = 148.46°, β = 130.08°, γ = 60.26°
With the nearest neighbours (Å) after each atom.
Element x y z (fractional)
Hg: 0.0011 0.0011 0.0000  2 Hg 2.80, 5 Ta 2.93-3.01, 5 W 2.96-3.00
Ta: 0.3292 0.3292 0.0000  2 Ta 2.80, 5 Hg 2.93-3.01, 5 W 2.96-3.04
W: 0.6697 0.6697 0.0000  2 W 2.80, 5 Ta 2.96-3.04, 5 Hg 2.96-3.00

Computed properties:
Spin magnetization = 0.00 μB/f.u.
DOS at the Fermi energy = 3.55 states/eV/f.u.
Space group = No. 44


Arrangement Q

Density functional theory data (PBE-GGA) for a relaxed structure of TaHgW.

a = 4.7632 Å, b = 4.7632 Å, c = 2.7762 Å
α = 90.00°, β = 90.00°, γ = 120.00°
With the nearest neighbours (Å) after each atom.
Element x y z (fractional)
Hg: 0.0000 0.0000 0.9850  2 Hg 2.78, 3 W 2.89, 3 Ta 2.93
Ta: 0.6667 0.3333 0.3509  2 Ta 2.78, 3 W 2.88, 3 Hg 2.93
W: 0.3333 0.6667 0.6640  2 W 2.78, 3 Ta 2.88, 3 Hg 2.89

Computed properties:
Spin magnetization = 0.00 μB/f.u.
DOS at the Fermi energy = 2.24 states/eV/f.u.
Space group = No. 156


Computed relative energies in units of meV per atom: arrangement P 0; arrangement Q 14


Arrangement P

Density functional theory data (PBE-GGA) for a relaxed structure of TaHgW3.

a = 4.8425 Å, b = 4.8425 Å, c = 4.8425 Å
α = 90.00°, β = 90.00°, γ = 90.00°
With the nearest neighbours (Å) after each atom.
Element x y z (fractional)
Hg: 0.0000 0.0000 0.0000  6 W 2.42
W: 0.0000 0.5000 0.0000  2 Hg 2.42
W: 0.0000 0.0000 0.5000  2 Hg 2.42
W: 0.5000 0.0000 0.0000  2 Hg 2.42
Ta: 0.5000 0.5000 0.5000  12 W 3.42

Computed properties:
Spin magnetization = 0.00 μB/f.u.
DOS at the Fermi energy = 6.98 states/eV/f.u.
Space group = No. 221


Arrangement Q

Density functional theory data (PBE-GGA) for a relaxed structure of TaHgW3.

a = 4.8023 Å, b = 4.8023 Å, c = 4.8023 Å
α = 90.00°, β = 90.00°, γ = 90.00°
With the nearest neighbours (Å) after each atom.
Element x y z (fractional)
Hg: 0.5000 0.5000 0.5000  12 W 3.40
W: 0.0000 0.5000 0.0000  2 Ta 2.40
W: 0.0000 0.0000 0.5000  2 Ta 2.40
W: 0.5000 0.0000 0.0000  2 Ta 2.40
Ta: 0.0000 0.0000 0.0000  6 W 2.40

Computed properties:
Spin magnetization = 0.00 μB/f.u.
DOS at the Fermi energy = 5.07 states/eV/f.u.
Space group = No. 221


Computed relative energies in units of meV per atom: arrangement P 794; arrangement Q 0